Record 1
Computed, not measured: crystalline NbTcOs2 at its relaxed geometry at the PBE-GGA level of DFT.

Summary:
ΔH_f (0 K) ... -0.2 eV per formula unit
D(E_F) ... 1.13 states/eV per atom
Space-group type ... P4/mmm
VASP energy ... -10.7644 eV per atom

The structure in CIF format:
```
data_NbTcOs2
_chemical_formula_sum 'Nb1 Tc1 Os2'
_symmetry_space_group_name_H-M 'P 1'
_symmetry_Int_Tables_number 1
_cell_length_a 3.945
_cell_length_b 3.945
_cell_length_c 3.929
_cell_angle_alpha 90.00
_cell_angle_beta 90.00
_cell_angle_gamma 90.00
loop_
_symmetry_equiv_pos_as_xyz
'x,y,z'
loop_
_atom_site_label
_atom_site_fract_x
_atom_site_fract_y
_atom_site_fract_z
Nb1 0.000 0.000 0.000
Tc1 0.500 0.500 0.000
Os1 0.000 0.500 0.500
Os2 0.500 0.000 0.500
```

***

Record 2
Computed, not measured: crystalline MnAlTc2 at its relaxed geometry at the PBE-GGA level of DFT.

Summary:
ΔH_f (0 K) ... -0.2 eV per formula unit
D(E_F) ... 0.96 states/eV per atom
Space-group type ... C2/m
VASP energy ... -8.4687 eV per atom

The structure in CIF format:
```
data_MnAlTc2
_chemical_formula_sum 'Mn1 Al1 Tc2'
_symmetry_space_group_name_H-M 'P 1'
_symmetry_Int_Tables_number 1
_cell_length_a 4.954
_cell_length_b 4.954
_cell_length_c 2.659
_cell_angle_alpha 100.03
_cell_angle_beta 100.03
_cell_angle_gamma 115.40
loop_
_symmetry_equiv_pos_as_xyz
'x,y,z'
loop_
_atom_site_label
_atom_site_fract_x
_atom_site_fract_y
_atom_site_fract_z
Mn1 0.000 0.000 0.000
Al1 0.500 0.500 0.000
Tc1 0.000 0.500 0.500
Tc2 0.500 0.000 0.500
```

***

Record 3
Computed, not measured: crystalline CdInBO4 at its relaxed geometry at the PBE-GGA level of DFT.

Summary:
Formation energy (no corrections) ... -1.61 eV/atom
Space-group type ... Cmcm
VASP energy ... -5.9168 eV per atom

The structure in CIF format:
```
data_CdInBO4
_chemical_formula_sum 'Cd2 In2 B2 O8'
_symmetry_space_group_name_H-M 'P 1'
_symmetry_Int_Tables_number 1
_cell_length_a 5.346
_cell_length_b 5.346
_cell_length_c 6.222
_cell_angle_alpha 90.00
_cell_angle_beta 90.00
_cell_angle_gamma 114.45
loop_
_symmetry_equiv_pos_as_xyz
'x,y,z'
loop_
_atom_site_label
_atom_site_fract_x
_atom_site_fract_y
_atom_site_fract_z
Cd1 0.000 0.000 0.000
Cd2 0.000 0.000 0.500
In1 0.342 0.658 0.750
In2 0.658 0.342 0.250
B1 0.352 0.648 0.250
B2 0.648 0.352 0.750
O1 0.251 0.334 0.250
O2 0.254 0.746 0.059
O3 0.254 0.746 0.441
O4 0.334 0.251 0.750
O5 0.666 0.749 0.250
O6 0.746 0.254 0.559
O7 0.746 0.254 0.941
O8 0.749 0.666 0.750
```

***

Record 4
Computed, not measured: crystalline Tc3RhS at its relaxed geometry at the PBE-GGA level of DFT.

Summary:
Formation energy (no corrections) ... 0.59 eV/atom
D(E_F) ... 1.62 states/eV per atom
Space-group type ... Pm-3m
VASP energy ... -7.9239 eV per atom

The structure in CIF format:
```
data_Tc3RhS
_chemical_formula_sum 'Tc3 Rh1 S1'
_symmetry_space_group_name_H-M 'P 1'
_symmetry_Int_Tables_number 1
_cell_length_a 4.301
_cell_length_b 4.301
_cell_length_c 4.301
_cell_angle_alpha 90.00
_cell_angle_beta 90.00
_cell_angle_gamma 90.00
loop_
_symmetry_equiv_pos_as_xyz
'x,y,z'
loop_
_atom_site_label
_atom_site_fract_x
_atom_site_fract_y
_atom_site_fract_z
Tc1 0.000 0.000 0.500
Tc2 0.000 0.500 0.000
Tc3 0.500 0.000 0.000
Rh1 0.500 0.500 0.500
S1 0.000 0.000 0.000
```

***

Record 5
Computed, not measured: crystalline Pm4SmDyTm2 at its relaxed geometry at the PBE-GGA level of DFT.

Summary:
ΔH_f (0 K) ... 0.1 eV per formula unit
D(E_F) ... 1.32 states/eV per atom
Space-group type ... P2/m
VASP energy ... -4.6412 eV per atom

The structure in CIF format:
```
data_Pm4SmDyTm2
_chemical_formula_sum 'Pm4 Sm1 Dy1 Tm2'
_symmetry_space_group_name_H-M 'P 1'
_symmetry_Int_Tables_number 1
_cell_length_a 6.222
_cell_length_b 3.602
_cell_length_c 11.855
_cell_angle_alpha 90.00
_cell_angle_beta 100.14
_cell_angle_gamma 90.00
loop_
_symmetry_equiv_pos_as_xyz
'x,y,z'
loop_
_atom_site_label
_atom_site_fract_x
_atom_site_fract_y
_atom_site_fract_z
Pm1 0.249 0.000 0.247
Pm2 0.250 0.500 0.750
Pm3 0.750 0.500 0.250
Pm4 0.751 0.000 0.753
Sm1 0.500 0.500 0.500
Dy1 0.500 0.000 0.000
Tm1 0.000 0.000 0.500
Tm2 0.000 0.500 0.000
```

***

Record 6
Computed, not measured: crystalline PrNi4B at its relaxed geometry at the PBE-GGA level of DFT.

Summary:
ΔH_f (0 K) ... -2.4 eV per formula unit
D(E_F) ... 0.64 states/eV per atom
Space-group type ... P6/mmm
VASP energy ... -6.1636 eV per atom

The structure in CIF format:
```
data_PrNi4B
_chemical_formula_sum 'Pr2 Ni8 B2'
_symmetry_space_group_name_H-M 'P 1'
_symmetry_Int_Tables_number 1
_cell_length_a 5.085
_cell_length_b 5.085
_cell_length_c 7.001
_cell_angle_alpha 90.00
_cell_angle_beta 90.00
_cell_angle_gamma 120.00
loop_
_symmetry_equiv_pos_as_xyz
'x,y,z'
loop_
_atom_site_label
_atom_site_fract_x
_atom_site_fract_y
_atom_site_fract_z
Pr1 0.000 0.000 0.000
Pr2 0.000 0.000 0.500
Ni1 0.000 0.500 0.206
Ni2 0.000 0.500 0.794
Ni3 0.333 0.667 0.500
Ni4 0.500 0.000 0.206
Ni5 0.500 0.000 0.794
Ni6 0.500 0.500 0.206
Ni7 0.500 0.500 0.794
Ni8 0.667 0.333 0.500
B1 0.333 0.667 0.000
B2 0.667 0.333 0.000
```

***

Record 7
Computed, not measured: crystalline MgTlAgPd at its relaxed geometry at the PBE-GGA level of DFT.

Summary:
ΔH_f (0 K) ... -0.9 eV per formula unit
D(E_F) ... 0.51 states/eV per atom
Space-group type ... F-43m
VASP energy ... -3.2227 eV per atom

The structure in CIF format:
```
data_MgTlAgPd
_chemical_formula_sum 'Mg1 Tl1 Ag1 Pd1'
_symmetry_space_group_name_H-M 'P 1'
_symmetry_Int_Tables_number 1
_cell_length_a 4.737
_cell_length_b 4.737
_cell_length_c 4.737
_cell_angle_alpha 60.00
_cell_angle_beta 60.00
_cell_angle_gamma 60.00
loop_
_symmetry_equiv_pos_as_xyz
'x,y,z'
loop_
_atom_site_label
_atom_site_fract_x
_atom_site_fract_y
_atom_site_fract_z
Mg1 0.000 0.000 0.000
Tl1 0.500 0.500 0.500
Ag1 0.750 0.750 0.750
Pd1 0.250 0.250 0.250
```

***

Record 8
Computed, not measured: crystalline DyPd4 at its relaxed geometry at the PBE-GGA level of DFT.

Summary:
ΔH_f (0 K) ... 3.4 eV per formula unit
D(E_F) ... 0.36 states/eV per atom
Space-group type ... Pm-3m
VASP energy ... -4.3903 eV per atom

The structure in CIF format:
```
data_DyPd4
_chemical_formula_sum 'Dy1 Pd4'
_symmetry_space_group_name_H-M 'P 1'
_symmetry_Int_Tables_number 1
_cell_length_a 4.927
_cell_length_b 4.927
_cell_length_c 4.927
_cell_angle_alpha 90.00
_cell_angle_beta 90.00
_cell_angle_gamma 90.00
loop_
_symmetry_equiv_pos_as_xyz
'x,y,z'
loop_
_atom_site_label
_atom_site_fract_x
_atom_site_fract_y
_atom_site_fract_z
Dy1 0.000 0.000 0.000
Pd1 0.000 0.000 0.500
Pd2 0.000 0.500 0.000
Pd3 0.500 0.000 0.000
Pd4 0.500 0.500 0.500
```

***

Record 9
Computed, not measured: crystalline Pd4Au3 at its relaxed geometry at the PBE-GGA level of DFT.

Summary:
ΔH_f (0 K) ... 0.1 eV per formula unit
D(E_F) ... 1.13 states/eV per atom
Space-group type ... C2/m
VASP energy ... -4.3516 eV per atom

The structure in CIF format:
```
data_Pd4Au3
_chemical_formula_sum 'Pd4 Au3'
_symmetry_space_group_name_H-M 'P 1'
_symmetry_Int_Tables_number 1
_cell_length_a 7.223
_cell_length_b 7.223
_cell_length_c 6.808
_cell_angle_alpha 118.01
_cell_angle_beta 118.01
_cell_angle_gamma 22.26
loop_
_symmetry_equiv_pos_as_xyz
'x,y,z'
loop_
_atom_site_label
_atom_site_fract_x
_atom_site_fract_y
_atom_site_fract_z
Pd1 0.063 0.063 0.403
Pd2 0.355 0.355 0.172
Pd3 0.645 0.645 0.828
Pd4 0.937 0.937 0.597
Au1 0.283 0.283 0.709
Au2 0.500 0.500 0.000
Au3 0.717 0.717 0.291
```

***

Record 10
Computed, not measured: crystalline Cs2RbCoBr6 at its relaxed geometry at the PBE-GGA level of DFT.

Summary:
Formation energy (no corrections) ... -1.16 eV/atom
D(E_F) ... 0.00 states/eV per atom
Space-group type ... Fm-3m
VASP energy ... -3.1425 eV per atom

The structure in CIF format:
```
data_Cs2RbCoBr6
_chemical_formula_sum 'Cs2 Rb1 Co1 Br6'
_symmetry_space_group_name_H-M 'P 1'
_symmetry_Int_Tables_number 1
_cell_length_a 8.075
_cell_length_b 8.075
_cell_length_c 8.075
_cell_angle_alpha 60.00
_cell_angle_beta 60.00
_cell_angle_gamma 60.00
loop_
_symmetry_equiv_pos_as_xyz
'x,y,z'
loop_
_atom_site_label
_atom_site_fract_x
_atom_site_fract_y
_atom_site_fract_z
Cs1 0.250 0.250 0.250
Cs2 0.750 0.750 0.750
Rb1 0.000 0.000 0.000
Co1 0.500 0.500 0.500
Br1 0.287 0.287 0.713
Br2 0.287 0.713 0.287
Br3 0.287 0.713 0.713
Br4 0.713 0.287 0.287
Br5 0.713 0.287 0.713
Br6 0.713 0.713 0.287
```

***

Record 11
Computed, not measured: crystalline Nd2InSn at its relaxed geometry at the PBE-GGA level of DFT.

Summary:
ΔH_f (0 K) ... -2.6 eV per formula unit
D(E_F) ... 1.01 states/eV per atom
Space-group type ... Amm2
VASP energy ... -4.7129 eV per atom

The structure in CIF format:
```
data_Nd2InSn
_chemical_formula_sum 'Nd2 In1 Sn1'
_symmetry_space_group_name_H-M 'P 1'
_symmetry_Int_Tables_number 1
_cell_length_a 4.425
_cell_length_b 6.358
_cell_length_c 6.358
_cell_angle_alpha 43.40
_cell_angle_beta 90.00
_cell_angle_gamma 90.00
loop_
_symmetry_equiv_pos_as_xyz
'x,y,z'
loop_
_atom_site_label
_atom_site_fract_x
_atom_site_fract_y
_atom_site_fract_z
Nd1 0.000 0.000 0.000
Nd2 0.500 0.276 0.276
In1 0.000 0.723 0.723
Sn1 0.500 0.554 0.554
```

***

Record 12
Computed, not measured: crystalline TeRhW4 at its relaxed geometry at the PBE-GGA level of DFT.

Summary:
Formation energy (no corrections) ... 0.78 eV/atom
D(E_F) ... 0.99 states/eV per atom
Space-group type ... F-43m
VASP energy ... -9.6064 eV per atom

The structure in CIF format:
```
data_TeRhW4
_chemical_formula_sum 'Te1 Rh1 W4'
_symmetry_space_group_name_H-M 'P 1'
_symmetry_Int_Tables_number 1
_cell_length_a 5.333
_cell_length_b 5.333
_cell_length_c 5.333
_cell_angle_alpha 60.00
_cell_angle_beta 60.00
_cell_angle_gamma 60.00
loop_
_symmetry_equiv_pos_as_xyz
'x,y,z'
loop_
_atom_site_label
_atom_site_fract_x
_atom_site_fract_y
_atom_site_fract_z
Te1 0.000 0.000 0.000
Rh1 0.250 0.250 0.250
W1 0.128 0.624 0.624
W2 0.624 0.128 0.624
W3 0.624 0.624 0.128
W4 0.624 0.624 0.624
```